# MgZnPd2 | Alexandria via LeMat-Bulk | PBE-GGA | optimized geometry
# * DOS(E_F): 1.950 states/eV/f.u.
# * formation enthalpy at 0 K: -655.0 meV/atom
# * crystal system: cubic
# * final energy: -15.87 eV for the cell shown
data_MgZnPd2
_chemical_formula_sum 'Mg1 Zn1 Pd2'
_space_group_name_H-M_alt 'P 1'
_space_group_IT_number 1
_cell_length_a 4.411
_cell_length_b 4.411
_cell_length_c 4.411
_cell_angle_alpha 60.00
_cell_angle_beta 60.00
_cell_angle_gamma 60.00
loop_
_space_group_symop_operation_xyz
'x,y,z'
loop_
_atom_site_label
_atom_site_fract_x
_atom_site_fract_y
_atom_site_fract_z
Pd1 0.250 0.250 0.250
Zn1 0.500 0.500 0.500
Mg1 0.000 0.000 0.000
Pd2 0.750 0.750 0.750